1.
# RbZnRuCl6

RbZnRuCl6 after structural relaxation (PBE, Alexandria via LeMat-Bulk).

Properties
* DOS(E_F): 7.8 states/eV/cell
* energy relative to the elements, uncorrected: -9.256 eV/f.u.

Structure (POSCAR):
```
RbZnRuCl6
1.0
6.373 0.000 0.000
3.187 5.519 0.000
0.000 0.000 7.413
Rb Zn Ru Cl
1 1 1 6
direct
0.000 0.000 0.000
0.333 0.333 0.500
0.667 0.667 0.500
0.986 0.375 0.317
0.375 0.986 0.683
0.639 0.375 0.683
0.986 0.639 0.683
0.375 0.639 0.317
0.639 0.986 0.317
```

2.
# RbS4Cl

RbS4Cl after structural relaxation (PBE, Alexandria via LeMat-Bulk).

Properties
* DOS(E_F): 0.1 states/eV/cell
* energy relative to the elements, uncorrected: -2.615 eV/f.u.

Structure (POSCAR):
```
RbS4Cl
1.0
-0.221 0.445 -4.600
3.567 -9.472 -1.711
-0.655 -11.338 -1.696
Rb S Cl
1 4 1
direct
0.001 0.003 0.502
0.770 0.870 0.923
0.232 0.135 0.081
0.948 0.957 0.127
0.054 0.048 0.876
0.501 0.503 0.002
```

3.
# RbS2Cl

RbS2Cl after structural relaxation (PBE, Alexandria via LeMat-Bulk).

Properties
* excess energy over the best structure of this formula in the dataset: 189 meV/atom
* DOS(E_F): 3.8 states/eV/cell
* energy relative to the elements, uncorrected: 0.706 eV/f.u.

Structure (POSCAR):
```
RbS2Cl
1.0
2.448 0.000 8.879
-1.224 2.120 8.879
-1.224 -2.120 8.879
S Rb Cl
2 1 1
direct
0.917 0.917 0.917
0.083 0.083 0.083
0.500 0.500 0.500
0.000 0.000 0.000
```

4.
# RbS3Cl2

RbS3Cl2 after structural relaxation (PBE, Alexandria via LeMat-Bulk).

Properties
* DOS(E_F): 6.9 states/eV/cell
* energy relative to the elements, uncorrected: -2.790 eV/f.u.

Structure (POSCAR):
```
RbS3Cl2
1.0
4.134 0.655 1.264
2.718 14.252 10.510
1.196 8.321 13.200
Rb S Cl
2 6 4
direct
0.970 0.087 0.637
0.030 0.913 0.363
0.806 0.929 0.593
0.016 0.360 0.597
0.131 0.498 0.642
0.869 0.502 0.358
0.984 0.640 0.403
0.194 0.071 0.407
0.692 0.036 0.094
0.308 0.964 0.906
0.303 0.542 0.183
0.697 0.458 0.817
```

5.
# RbS2Cl

RbS2Cl after structural relaxation (PBE, Alexandria via LeMat-Bulk).

Properties
* excess energy over the best structure of this formula in the dataset: 84 meV/atom
* DOS(E_F): 0.0 states/eV/cell
* energy relative to the elements, uncorrected: 0.284 eV/f.u.

Structure (POSCAR):
```
RbS2Cl
1.0
-5.338 3.739 2.806
-2.114 -5.729 3.613
-0.306 0.549 7.657
S Rb Cl
4 2 2
direct
0.377 0.125 0.250
0.373 0.625 0.250
0.375 0.623 0.750
0.875 0.627 0.750
0.000 0.000 0.000
0.750 0.250 0.500
0.500 0.500 0.000
0.250 0.750 0.500
```

6.
# RbS3Cl

RbS3Cl after structural relaxation (PBE, Alexandria via LeMat-Bulk).

Properties
* excess energy over the best structure of this formula in the dataset: 985 meV/atom
* DOS(E_F): 4.6 states/eV/cell
* energy relative to the elements, uncorrected: 2.295 eV/f.u.

Structure (POSCAR):
```
RbS3Cl
1.0
-0.744 4.583 -1.728
-2.124 -1.877 -4.063
-4.414 0.131 2.247
S Rb Cl
3 1 1
direct
0.000 0.500 0.000
0.000 0.000 0.500
0.500 0.000 0.000
0.500 0.500 0.500
0.000 0.000 0.000
```

7.
# Rb5S2Cl2

Rb5S2Cl2 after structural relaxation (PBE, Alexandria via LeMat-Bulk).

Properties
* energy relative to the elements, uncorrected: -11.928 eV/f.u.

Structure (POSCAR):
```
Rb5S2Cl2
1.0
-3.924 6.630 4.132
-6.056 -5.532 3.125
2.771 1.929 8.784
Rb S Cl
10 4 4
direct
0.000 0.000 0.000
0.500 0.500 0.000
0.470 0.160 0.735
0.795 0.840 0.735
0.295 0.660 0.735
0.970 0.340 0.735
0.530 0.840 0.265
0.205 0.160 0.265
0.705 0.340 0.265
0.030 0.660 0.265
0.127 0.372 0.000
0.873 0.628 0.000
0.373 0.872 0.000
0.627 0.128 0.000
0.202 0.000 0.597
0.702 0.500 0.597
0.798 0.000 0.403
0.298 0.500 0.403
```

8.
# Rb2S2Cl7

Rb2S2Cl7 after structural relaxation (PBE, Alexandria via LeMat-Bulk).

Properties
* DOS(E_F): 3.2 states/eV/cell
* energy relative to the elements, uncorrected: -6.861 eV/f.u.

Structure (POSCAR):
```
Rb2S2Cl7
1.0
-6.728 1.688 0.172
-3.526 -7.419 0.824
-0.896 2.347 7.864
Rb S Cl
2 2 7
direct
0.000 0.205 0.795
0.000 0.795 0.205
0.414 0.225 0.225
0.586 0.775 0.775
0.818 0.917 0.605
0.182 0.395 0.083
0.182 0.083 0.395
0.818 0.605 0.917
0.500 0.000 0.000
0.277 0.774 0.774
0.723 0.226 0.226
```

9.
# Rb2SCl

Rb2SCl after structural relaxation (PBE, Alexandria via LeMat-Bulk).

Properties
* excess energy over the best structure of this formula in the dataset: 0 meV/atom
* DOS(E_F): 2.7 states/eV/cell
* energy relative to the elements, uncorrected: -4.565 eV/f.u.

Structure (POSCAR):
```
Rb2SCl
1.0
3.845 0.000 0.000
0.000 3.845 0.000
0.000 0.000 8.555
S Rb Cl
1 2 1
direct
0.500 0.500 0.500
0.000 0.000 0.763
0.000 0.000 0.237
0.500 0.500 0.000
```

10.
# Rb5SCl4

Rb5SCl4 after structural relaxation (PBE, Alexandria via LeMat-Bulk).

Properties
* DOS(E_F): 9.8 states/eV/cell
* energy relative to the elements, uncorrected: -16.090 eV/f.u.

Structure (POSCAR):
```
Rb5SCl4
1.0
0.304 -1.792 6.446
-0.654 -8.137 1.248
7.650 -1.582 2.678
Rb S Cl
5 1 4
direct
0.898 0.407 0.798
0.305 0.798 0.593
0.696 0.202 0.407
0.103 0.593 0.202
0.502 0.000 0.000
0.002 0.000 0.000
0.400 0.401 0.801
0.800 0.801 0.599
0.201 0.199 0.401
0.602 0.599 0.199
```